[1]
A geometry-optimized TlCdIn structure, computed with PBE.

Cell and atoms, written as extended XYZ:
```
6
Lattice="3.283 0.000 0.000 1.552 5.347 0.000 1.605 0.480 9.408" Properties=species:S:1:pos:R:3 pbc="T T T"
Tl 0.000 0.000 0.000
Tl 3.174 4.996 3.178
Cd 1.605 2.500 1.573
Cd 3.238 2.932 7.813
In 1.581 2.492 4.880
In 4.835 5.363 6.368
```

The theoretical density comes out at 8.679 Mg/m³. The value obtained for the spin magnetization is 0.000 μB/atom. Its crystal system is triclinic. For the energy of formation from the pure elements, the calculation gives 0.049 eV per atom.

---

[2]
A geometry-optimized K2CuF4 structure, computed with PBE.

Cell and atoms, written as extended XYZ:
```
14
Lattice="6.444 -2.963 0.000 6.444 2.963 0.000 0.000 0.000 5.926" Properties=species:S:1:pos:R:3 pbc="T T T"
K 1.833 0.000 0.000
K 4.612 0.000 2.963
K 8.277 0.000 2.963
K 11.056 0.000 0.000
Cu 0.000 0.000 2.963
Cu 6.444 0.000 0.000
F 1.980 0.000 2.963
F 6.444 1.587 4.338
F 6.444 1.376 1.375
F 4.464 0.000 0.000
F 8.425 0.000 0.000
F 6.444 -1.376 4.551
F 6.444 -1.587 1.588
F 10.909 0.000 2.963
```

The theoretical density comes out at 3.195 Mg/m³. The value obtained for the spin magnetization is 0.142 μB/atom. Its uncorrected formation energy is -2.30 eV/atom. Its crystal system is orthorhombic. Its energy above the lowest structure with this stoichiometry is 0.000 eV per atom.

---

Please write out number 2 again, unchanged.
A geometry-optimized K2CuF4 structure, computed with PBE.

Cell and atoms, written as extended XYZ:
```
14
Lattice="6.444 -2.963 0.000 6.444 2.963 0.000 0.000 0.000 5.926" Properties=species:S:1:pos:R:3 pbc="T T T"
K 1.833 0.000 0.000
K 4.612 0.000 2.963
K 8.277 0.000 2.963
K 11.056 0.000 0.000
Cu 0.000 0.000 2.963
Cu 6.444 0.000 0.000
F 1.980 0.000 2.963
F 6.444 1.587 4.338
F 6.444 1.376 1.375
F 4.464 0.000 0.000
F 8.425 0.000 0.000
F 6.444 -1.376 4.551
F 6.444 -1.587 1.588
F 10.909 0.000 2.963
```

The theoretical density comes out at 3.195 Mg/m³. The value obtained for the spin magnetization is 0.142 μB/atom. Its uncorrected formation energy is -2.30 eV/atom. Its crystal system is orthorhombic. Its energy above the lowest structure with this stoichiometry is 0.000 eV per atom.

---

Q: spin magnetization of number 2 (K2CuF4)?
A: 0.142 μB/atom

---

Q: What is the theoretical density in the first record?
A: 8.679 Mg/m³